1.
ScZnFeIr: relaxed, PBE.

Calculated formation energy, eV per atom: -0.275
E_tot, eV/atom: -6.46
Energy above the most stable polymorph in this dataset, meV/atom: 0
M_tot, μB per formula unit: 1.85

CIF file:
```
data_ScZnFeIr
_chemical_formula_sum 'Sc4 Zn4 Fe4 Ir4'
_cell_length_a 6.187
_cell_length_b 6.187
_cell_length_c 6.187
_cell_angle_alpha 90.00
_cell_angle_beta 90.00
_cell_angle_gamma 90.00
_space_group_name_H-M_alt 'F -4 3 m'
_space_group_IT_number 216
_space_group_name_Hall 'F -4 2 3'
loop_
_atom_site_label
_atom_site_type_symbol
_atom_site_fract_x
_atom_site_fract_y
_atom_site_fract_z
_atom_site_occupancy
Sc1 Sc 0.000 0.000 0.000 1
Zn1 Zn 0.000 0.000 0.500 1
Fe1 Fe 0.250 0.250 0.750 1
Ir1 Ir 0.250 0.250 0.250 1
```


2.
ScZnFeIr: relaxed, PBE.

Calculated formation energy, eV per atom: -0.265
E_tot, eV/atom: -6.45
Energy above the most stable polymorph in this dataset, meV/atom: 9
M_tot, μB per formula unit: 3.36

CIF file:
```
data_ScZnFeIr
_chemical_formula_sum 'Sc4 Zn4 Fe4 Ir4'
_cell_length_a 6.265
_cell_length_b 6.265
_cell_length_c 6.265
_cell_angle_alpha 90.00
_cell_angle_beta 90.00
_cell_angle_gamma 90.00
_space_group_name_H-M_alt 'F -4 3 m'
_space_group_IT_number 216
_space_group_name_Hall 'F -4 2 3'
loop_
_atom_site_label
_atom_site_type_symbol
_atom_site_fract_x
_atom_site_fract_y
_atom_site_fract_z
_atom_site_occupancy
Sc1 Sc 0.000 0.000 0.000 1
Zn1 Zn 0.250 0.250 0.250 1
Fe1 Fe 0.000 0.000 0.500 1
Ir1 Ir 0.250 0.250 0.750 1
```


3.
Fe5Si2Ir: relaxed, PBE.

E_tot, eV/atom: -8.00
M_tot, μB per formula unit: 9.53

CIF file:
```
data_Fe5Si2Ir
_chemical_formula_sum 'Fe5 Si2 Ir1'
_cell_length_a 4.028
_cell_length_b 4.028
_cell_length_c 5.700
_cell_angle_alpha 90.00
_cell_angle_beta 90.00
_cell_angle_gamma 90.00
_space_group_name_H-M_alt 'P -4 m 2'
_space_group_IT_number 115
_space_group_name_Hall 'P -4 -2'
loop_
_atom_site_label
_atom_site_type_symbol
_atom_site_fract_x
_atom_site_fract_y
_atom_site_fract_z
_atom_site_occupancy
Fe1 Fe 0.000 0.000 0.000 1
Fe2 Fe 0.000 0.000 0.500 1
Fe3 Fe 0.000 0.500 0.231 1
Fe4 Fe 0.500 0.500 0.000 1
Si1 Si 0.000 0.500 0.758 1
Ir1 Ir 0.500 0.500 0.500 1
```


4.
Fe2SiIr: relaxed, PBE.

E_tot, eV/atom: -8.07
M_tot, μB per formula unit: 4.84

CIF file:
```
data_Fe2SiIr
_chemical_formula_sum 'Fe8 Si4 Ir4'
_cell_length_a 5.811
_cell_length_b 5.811
_cell_length_c 5.811
_cell_angle_alpha 90.00
_cell_angle_beta 90.00
_cell_angle_gamma 90.00
_space_group_name_H-M_alt 'F -4 3 m'
_space_group_IT_number 216
_space_group_name_Hall 'F -4 2 3'
loop_
_atom_site_label
_atom_site_type_symbol
_atom_site_fract_x
_atom_site_fract_y
_atom_site_fract_z
_atom_site_occupancy
Fe1 Fe 0.000 0.000 0.000 1
Fe2 Fe 0.250 0.250 0.250 1
Si1 Si 0.000 0.000 0.500 1
Ir1 Ir 0.250 0.250 0.750 1
```


5.
TaFeSiIr: relaxed, PBE.

E_tot, eV/atom: -8.72
Energy above the most stable polymorph in this dataset, meV/atom: 257
M_tot, μB per formula unit: 2.44

CIF file:
```
data_TaFeSiIr
_chemical_formula_sum 'Ta4 Fe4 Si4 Ir4'
_cell_length_a 6.135
_cell_length_b 6.135
_cell_length_c 6.135
_cell_angle_alpha 90.00
_cell_angle_beta 90.00
_cell_angle_gamma 90.00
_space_group_name_H-M_alt 'F -4 3 m'
_space_group_IT_number 216
_space_group_name_Hall 'F -4 2 3'
loop_
_atom_site_label
_atom_site_type_symbol
_atom_site_fract_x
_atom_site_fract_y
_atom_site_fract_z
_atom_site_occupancy
Ta1 Ta 0.000 0.000 0.000 1
Fe1 Fe 0.000 0.000 0.500 1
Si1 Si 0.250 0.250 0.250 1
Ir1 Ir 0.250 0.250 0.750 1
```


6.
TaFeSiIr: relaxed, PBE.

E_tot, eV/atom: -8.98
Energy above the most stable polymorph in this dataset, meV/atom: 0
M_tot, μB per formula unit: 1.93

CIF file:
```
data_TaFeSiIr
_chemical_formula_sum 'Ta4 Fe4 Si4 Ir4'
_cell_length_a 6.087
_cell_length_b 6.087
_cell_length_c 6.087
_cell_angle_alpha 90.00
_cell_angle_beta 90.00
_cell_angle_gamma 90.00
_space_group_name_H-M_alt 'F -4 3 m'
_space_group_IT_number 216
_space_group_name_Hall 'F -4 2 3'
loop_
_atom_site_label
_atom_site_type_symbol
_atom_site_fract_x
_atom_site_fract_y
_atom_site_fract_z
_atom_site_occupancy
Ta1 Ta 0.000 0.000 0.000 1
Fe1 Fe 0.250 0.250 0.750 1
Si1 Si 0.000 0.000 0.500 1
Ir1 Ir 0.250 0.250 0.250 1
```


What did the third record say?
Fe5Si2Ir: relaxed, PBE.

E_tot, eV/atom: -8.00
M_tot, μB per formula unit: 9.53

CIF file:
```
data_Fe5Si2Ir
_chemical_formula_sum 'Fe5 Si2 Ir1'
_cell_length_a 4.028
_cell_length_b 4.028
_cell_length_c 5.700
_cell_angle_alpha 90.00
_cell_angle_beta 90.00
_cell_angle_gamma 90.00
_space_group_name_H-M_alt 'P -4 m 2'
_space_group_IT_number 115
_space_group_name_Hall 'P -4 -2'
loop_
_atom_site_label
_atom_site_type_symbol
_atom_site_fract_x
_atom_site_fract_y
_atom_site_fract_z
_atom_site_occupancy
Fe1 Fe 0.000 0.000 0.000 1
Fe2 Fe 0.000 0.000 0.500 1
Fe3 Fe 0.000 0.500 0.231 1
Fe4 Fe 0.500 0.500 0.000 1
Si1 Si 0.000 0.500 0.758 1
Ir1 Ir 0.500 0.500 0.500 1
```